Model 1:
VASP calculation (PBE-GGA) on a geometry-optimized SrSi4Pd4 structure.

Results
ρ (Mg/m³): 6.35
Total moment (μB per atom): 0.00

Cell lengths 6.375, 6.375, 6.375 Å; angles 97.61, 97.61, 137.31 degrees
Atoms (fractional coordinates):
Sr 0.000 0.000 0.000
Si 0.111 0.615 0.726
Si 0.385 0.111 0.497
Si 0.615 0.889 0.503
Si 0.889 0.385 0.274
Pd 0.191 0.334 0.525
Pd 0.334 0.809 0.143
Pd 0.666 0.191 0.857
Pd 0.809 0.666 0.475

---

Model 2:
VASP calculation (PBE-GGA) on a geometry-optimized SrSi4Pd4 structure.

Results
ρ (Mg/m³): 6.70
Total moment (μB per atom): 0.00

Cell lengths 6.071, 6.071, 8.413 Å; angles 90.00, 90.00, 90.00 degrees
Atoms (fractional coordinates):
Sr 0.250 0.750 0.250
Sr 0.750 0.250 0.750
Si 0.055 0.250 0.081
Si 0.250 0.055 0.581
Si 0.250 0.445 0.581
Si 0.445 0.250 0.081
Si 0.555 0.750 0.919
Si 0.750 0.555 0.419
Si 0.750 0.945 0.419
Si 0.945 0.750 0.919
Pd 0.014 0.250 0.375
Pd 0.250 0.014 0.875
Pd 0.250 0.486 0.875
Pd 0.486 0.250 0.375
Pd 0.514 0.750 0.625
Pd 0.750 0.514 0.125
Pd 0.750 0.986 0.125
Pd 0.986 0.750 0.625

---

Stability, highest: model 1

---

Model 1:
VASP calculation (PBE-GGA) on a geometry-optimized TaSiPd3 structure.

Results
ρ (Mg/m³): 7.72
Total moment (μB per atom): 0.00

Cell lengths 4.843, 4.843, 4.843 Å; angles 90.00, 90.00, 90.00 degrees
Atoms (fractional coordinates):
Ta 0.000 0.000 0.000
Si 0.500 0.500 0.500
Pd 0.000 0.000 0.500
Pd 0.000 0.500 0.000
Pd 0.500 0.000 0.000

---

Model 2:
VASP calculation (PBE-GGA) on a geometry-optimized TaSiPd3 structure.

Results
ρ (Mg/m³): 9.92
Total moment (μB per atom): 0.00

Cell lengths 4.455, 4.455, 4.455 Å; angles 90.00, 90.00, 90.00 degrees
Atoms (fractional coordinates):
Ta 0.000 0.000 0.000
Si 0.500 0.500 0.500
Pd 0.000 0.500 0.500
Pd 0.500 0.000 0.500
Pd 0.500 0.500 0.000

---

Stability, highest: model 2

---

Model 1:
VASP calculation (PBE-GGA) on a geometry-optimized Tb2Si3Pd2 structure.

Results
ρ (Mg/m³): 8.08
Total moment (μB per atom): 0.00

Cell lengths 5.577, 5.577, 6.422 Å; angles 113.39, 113.39, 44.46 degrees
Atoms (fractional coordinates):
Tb 0.151 0.151 0.278
Tb 0.849 0.849 0.722
Si 0.401 0.401 0.062
Si 0.500 0.500 0.500
Si 0.599 0.599 0.938
Pd 0.142 0.142 0.751
Pd 0.858 0.858 0.249

---

Model 2:
VASP calculation (PBE-GGA) on a geometry-optimized Tb2Si3Pd2 structure.

Results
ρ (Mg/m³): 7.96
Total moment (μB per atom): 0.00

Cell lengths 9.139, 9.139, 6.916 Å; angles 90.00, 90.00, 153.63 degrees
Atoms (fractional coordinates):
Tb 0.055 0.945 0.750
Tb 0.154 0.846 0.250
Tb 0.846 0.154 0.750
Tb 0.945 0.055 0.250
Si 0.224 0.776 0.750
Si 0.440 0.560 0.573
Si 0.440 0.560 0.927
Si 0.560 0.440 0.073
Si 0.560 0.440 0.427
Si 0.776 0.224 0.250
Pd 0.308 0.692 0.048
Pd 0.308 0.692 0.452
Pd 0.692 0.308 0.548
Pd 0.692 0.308 0.952

---

Stability, highest: model 2

---

Model 1:
VASP calculation (PBE-GGA) on a geometry-optimized TbSi3Pd3 structure.

Results
ρ (Mg/m³): 6.57
Total moment (μB per atom): 0.00

Cell lengths 6.576, 6.576, 6.576 Å; angles 90.00, 90.00, 90.00 degrees
Atoms (fractional coordinates):
Tb 0.000 0.000 0.000
Tb 0.500 0.500 0.500
Si 0.000 0.250 0.500
Si 0.000 0.750 0.500
Si 0.250 0.500 0.000
Si 0.500 0.000 0.250
Si 0.500 0.000 0.750
Si 0.750 0.500 0.000
Pd 0.000 0.500 0.250
Pd 0.000 0.500 0.750
Pd 0.250 0.000 0.500
Pd 0.500 0.250 0.000
Pd 0.500 0.750 0.000
Pd 0.750 0.000 0.500

---

Model 2:
VASP calculation (PBE-GGA) on a geometry-optimized TbSi3Pd3 structure.

Results
ρ (Mg/m³): 6.63
Total moment (μB per atom): 0.00

Cell lengths 8.922, 8.922, 4.086 Å; angles 90.00, 90.00, 120.00 degrees
Atoms (fractional coordinates):
Tb 0.333 0.667 0.250
Tb 0.667 0.333 0.750
Si 0.050 0.618 0.750
Si 0.382 0.432 0.750
Si 0.432 0.050 0.250
Si 0.568 0.950 0.750
Si 0.618 0.568 0.250
Si 0.950 0.382 0.250
Pd 0.090 0.368 0.750
Pd 0.278 0.910 0.750
Pd 0.368 0.278 0.250
Pd 0.632 0.722 0.750
Pd 0.722 0.090 0.250
Pd 0.910 0.632 0.250

---

Stability, highest: model 2

---

Model 1:
VASP calculation (PBE-GGA) on a geometry-optimized TbYSiPd structure.

Results
ρ (Mg/m³): 6.98
Total moment (μB per atom): 0.00

Cell lengths 4.241, 5.742, 5.742 Å; angles 40.56, 90.00, 90.00 degrees
Atoms (fractional coordinates):
Tb 0.000 0.000 0.000
Y 0.500 0.281 0.281
Si 0.500 0.562 0.562
Pd 0.000 0.714 0.714

---

Model 2:
VASP calculation (PBE-GGA) on a geometry-optimized TbYSiPd structure.

Results
ρ (Mg/m³): 7.21
Total moment (μB per atom): 0.00

Cell lengths 4.994, 4.994, 4.994 Å; angles 60.00, 60.00, 60.00 degrees
Atoms (fractional coordinates):
Tb 0.000 0.000 0.000
Y 0.500 0.500 0.500
Si 0.750 0.750 0.750
Pd 0.250 0.250 0.250

---

Stability, highest: model 1

---

Model 1:
VASP calculation (PBE-GGA) on a geometry-optimized Si2Tc2Pd structure.

Results
ρ (Mg/m³): 8.55
Total moment (μB per atom): 0.00

Cell lengths 6.730, 6.730, 3.077 Å; angles 90.00, 90.00, 90.00 degrees
Atoms (fractional coordinates):
Si 0.139 0.361 0.000
Si 0.361 0.861 0.000
Si 0.639 0.139 0.000
Si 0.861 0.639 0.000
Tc 0.156 0.656 0.500
Tc 0.344 0.156 0.500
Tc 0.656 0.844 0.500
Tc 0.844 0.344 0.500
Pd 0.000 0.000 0.000
Pd 0.500 0.500 0.000

---

Model 2:
VASP calculation (PBE-GGA) on a geometry-optimized Si2Tc2Pd structure.

Results
ρ (Mg/m³): 8.26
Total moment (μB per atom): 0.00

Cell lengths 7.081, 7.081, 2.877 Å; angles 90.00, 90.00, 90.00 degrees
Atoms (fractional coordinates):
Si 0.159 0.341 0.000
Si 0.341 0.841 0.000
Si 0.659 0.159 0.000
Si 0.841 0.659 0.000
Tc 0.136 0.636 0.500
Tc 0.364 0.136 0.500
Tc 0.636 0.864 0.500
Tc 0.864 0.364 0.500
Pd 0.000 0.000 0.500
Pd 0.500 0.500 0.500

---

Stability, highest: model 1